[1]
VASP calculation (PBE-GGA) on a relaxed structure of CaMg2Sc.

Output
space-group type	No. 8
energy of formation from the pure elements	4.7	kJ per mole of atoms

abc: 6.1979 6.1979 5.6561
angles: 71.02 71.02 31.88
Closest atoms and distances in Å follow each position.
Positions (direct):
Ca (0.7364, 0.7364, 0.7967)  7 Mg 3.28-3.38, 2 Ca 3.40
Mg (0.9805, 0.9805, 0.9719)  4 Mg 3.11-3.40, 4 Sc 3.31-3.35, 3 Ca 3.34-3.38
Mg (0.2627, 0.2627, 0.2843)  4 Mg 3.11-3.40, 2 Sc 3.21, 4 Ca 3.28-3.34
Sc (0.5203, 0.5203, 0.4470)  7 Mg 3.21-3.49, 2 Sc 3.40

---

[2]
VASP calculation (PBE-GGA) on a relaxed structure of AlPC.

Output
space-group type	No. 4
distance to the lowest polymorph of the same formula	0.000	eV per formula unit
energy of formation from the pure elements	-1.4	kJ per mole of atoms

abc: 4.5123 4.4323 4.8292
angles: 90.00 114.07 90.00
Closest atoms and distances in Å follow each position.
Positions (direct):
P (0.9508, 0.0572, 0.2723)  2 C 1.82-1.85
P (0.0492, 0.5572, 0.7277)  2 C 1.82-1.85
C (0.2293, 0.3540, 0.5059)  2 P 1.82-1.85, 2 Al 2.00-2.04
C (0.7707, 0.8540, 0.4941)  2 P 1.82-1.85, 2 Al 2.00-2.04
Al (0.6679, 0.1771, 0.7430)  2 C 2.00-2.04
Al (0.3321, 0.6771, 0.2570)  2 C 2.00-2.04

---

[3]
VASP calculation (PBE-GGA) on a relaxed structure of NaCBr2.

Output
space-group type	No. 166
distance to the lowest polymorph of the same formula	0.481	eV per formula unit

abc: 8.2716 8.2716 8.2716
angles: 30.42 30.42 30.42
Closest atoms and distances in Å follow each position.
Positions (direct):
Na (0.5000, 0.5000, 0.5000)  6 Br 3.00
C (0.0000, 0.0000, 0.0000)  2 Br 2.29
Br (0.9033, 0.9033, 0.9033)  1 C 2.29
Br (0.0967, 0.0967, 0.0967)  1 C 2.29

---

[4]
VASP calculation (PBE-GGA) on a relaxed structure of YMg2Cd.

Output
space-group type	No. 6
energy of formation from the pure elements	-13.8	kJ per mole of atoms

abc: 4.8817 3.3147 6.3709
angles: 74.71 90.00 90.00
Closest atoms and distances in Å follow each position.
Positions (direct):
Y (0.0000, 0.5483, 0.5293)  7 Mg 3.20-3.52, 4 Cd 3.23, 2 Y 3.31
Mg (0.0000, 0.8070, 0.0086)  2 Cd 2.93, 1 Y 3.20, 4 Mg 3.21-3.23
Mg (0.5000, 0.2065, 0.2175)  6 Mg 3.21-3.31, 3 Cd 3.24-3.36, 4 Y 3.52
Cd (0.5000, 0.9383, 0.7446)  3 Mg 2.93-3.24, 4 Y 3.23

---

[5]
VASP calculation (PBE-GGA) on a relaxed structure of HfNb4In.

Output
space-group type	No. 65
energy of formation from the pure elements	1.1	kJ per mole of atoms

abc: 4.8795 4.8203 5.5857
angles: 90.00 115.90 90.00
Closest atoms and distances in Å follow each position.
Positions (direct):
Hf (0.0000, 0.0000, 0.0000)  10 Nb 3.01-3.14
Nb (0.3127, 0.0000, 0.6254)  4 Nb 2.75-2.76, 2 In 3.06
Nb (0.6873, 0.0000, 0.3746)  4 Nb 2.75-2.76, 2 In 3.06
Nb (0.8213, 0.5000, 0.6426)  4 Nb 2.76-2.83, 2 Hf 3.01, 2 In 3.03
Nb (0.1787, 0.5000, 0.3574)  4 Nb 2.76-2.83, 2 Hf 3.01, 2 In 3.03
In (0.5000, 0.5000, 0.0000)  10 Nb 3.03-3.23

---

[6]
VASP calculation (PBE-GGA) on a relaxed structure of La3CePd12.

Output
space-group type	No. 123
energy of formation from the pure elements	-78.4	kJ per mole of atoms

abc: 4.2125 4.2125 16.8145
angles: 90.00 90.00 90.00
Closest atoms and distances in Å follow each position.
Positions (direct):
La (0.0000, 0.0000, 0.2493)  12 Pd 2.97-3.04
La (0.0000, 0.0000, 0.5000)  12 Pd 2.98-2.99
La (0.0000, 0.0000, 0.7507)  12 Pd 2.97-3.04
Ce (0.0000, 0.0000, 0.0000)  12 Pd 2.91-2.98
Pd (0.5000, 0.5000, 0.0000)  8 Pd 2.91, 4 Ce 2.98
Pd (0.5000, 0.5000, 0.2467)  4 La 2.98, 8 Pd 3.00-3.01
Pd (0.5000, 0.5000, 0.5000)  4 La 2.98, 8 Pd 2.99
Pd (0.5000, 0.5000, 0.7533)  4 La 2.98, 8 Pd 3.00-3.01
Pd (0.5000, 0.0000, 0.1191)  2 Ce 2.91, 8 Pd 2.91-3.01, 2 La 3.04
Pd (0.5000, 0.0000, 0.3734)  4 La 2.97-2.99, 8 Pd 2.98-3.00
Pd (0.5000, 0.0000, 0.6266)  4 La 2.97-2.99, 8 Pd 2.98-3.00
Pd (0.5000, 0.0000, 0.8809)  8 Pd 2.91-3.01, 2 Ce 2.91, 2 La 3.04
Pd (0.0000, 0.5000, 0.1191)  2 Ce 2.91, 8 Pd 2.91-3.01, 2 La 3.04
Pd (0.0000, 0.5000, 0.3734)  4 La 2.97-2.99, 8 Pd 2.98-3.00
Pd (0.0000, 0.5000, 0.6266)  4 La 2.97-2.99, 8 Pd 2.98-3.00
Pd (0.0000, 0.5000, 0.8809)  8 Pd 2.91-3.01, 2 Ce 2.91, 2 La 3.04

---

[7]
VASP calculation (PBE-GGA) on a relaxed structure of CaIr2.

Output
space-group type	No. 205
energy of formation from the pure elements	131.0	kJ per mole of atoms

abc: 6.6379 6.6379 6.6379
angles: 90.00 90.00 90.00
Closest atoms and distances in Å follow each position.
Positions (direct):
Ca (0.0000, 0.0000, 0.0000)  6 Ir 2.81
Ca (0.5000, 0.5000, 0.0000)  6 Ir 2.81
Ca (0.5000, 0.0000, 0.5000)  6 Ir 2.81
Ca (0.0000, 0.5000, 0.5000)  6 Ir 2.81
Ir (0.6024, 0.6024, 0.3976)  1 Ir 2.35
Ir (0.3976, 0.3976, 0.6024)  1 Ir 2.35
Ir (0.1024, 0.8976, 0.6024)  1 Ir 2.35
Ir (0.8976, 0.1024, 0.3976)  1 Ir 2.35
Ir (0.3976, 0.1024, 0.1024)  1 Ir 2.35
Ir (0.6024, 0.8976, 0.8976)  1 Ir 2.35
Ir (0.8976, 0.3976, 0.8976)  1 Ir 2.35
Ir (0.1024, 0.6024, 0.1024)  1 Ir 2.35

---

[8]
VASP calculation (PBE-GGA) on a relaxed structure of P2SF.

Output
space-group type	No. 225
distance to the lowest polymorph of the same formula	1.354	eV per formula unit

abc: 4.2652 4.2652 4.2652
angles: 60.00 60.00 60.00
Closest atoms and distances in Å follow each position.
Positions (direct):
P (0.2500, 0.2500, 0.2500)  4 S 2.61, 4 F 2.61
P (0.7500, 0.7500, 0.7500)  4 S 2.61, 4 F 2.61
S (0.5000, 0.5000, 0.5000)  8 P 2.61
F (0.0000, 0.0000, 0.0000)  8 P 2.61